No. 1
A geometry-optimized Ba2CaTlCu2O7 structure, computed with GGA-PBEsol.

```
data_Ba2CaTlCu2O7
_space_group_name_H-M_alt 'P 4/m m m'
_space_group_IT_number 123
_space_group_name_Hall '-P 4 2'
_cell_length_a 3.775
_cell_length_b 3.775
_cell_length_c 12.740
_cell_angle_alpha 90.00
_cell_angle_beta 90.00
_cell_angle_gamma 90.00
loop_
_atom_site_label
_atom_site_fract_x
_atom_site_fract_y
_atom_site_fract_z
Ba1 0.000 0.000 0.209
Ca1 0.000 0.000 0.500
Tl1 0.500 0.500 0.000
Cu1 0.500 0.500 0.367
O1 0.000 0.000 0.000
O2 0.000 0.500 0.380
O3 0.500 0.500 0.164
```

Summary:
N(E_F) = 0.63 states/eV per atom
Formation energy from raw total energies = -1.635 eV/atom
M_tot = 0.0000 μB per atom

=====

No. 2
A geometry-optimized FeNiO2 structure, computed with GGA-PBEsol.

```
data_FeNiO2
_space_group_name_H-M_alt 'F m -3 m'
_space_group_IT_number 225
_space_group_name_Hall '-F 4 2 3'
_cell_length_a 5.182
_cell_length_b 5.182
_cell_length_c 5.182
_cell_angle_alpha 90.00
_cell_angle_beta 90.00
_cell_angle_gamma 90.00
loop_
_atom_site_label
_atom_site_fract_x
_atom_site_fract_y
_atom_site_fract_z
Fe1 0.000 0.000 0.000
Ni1 0.000 0.000 0.500
O1 0.250 0.250 0.250
```

Summary:
N(E_F) = 1.11 states/eV per atom
Formation energy from raw total energies = -0.296 eV/atom
Offset from the most stable computed form = 650 meV/atom
M_tot = 1.4933 μB per atom

=====

No. 3
A geometry-optimized Si2Mo2F structure, computed with GGA-PBEsol.

```
data_Si2Mo2F
_space_group_name_H-M_alt 'I 4/m m m'
_space_group_IT_number 139
_space_group_name_Hall '-I 4 2'
_cell_length_a 3.350
_cell_length_b 3.350
_cell_length_c 12.760
_cell_angle_alpha 90.00
_cell_angle_beta 90.00
_cell_angle_gamma 90.00
loop_
_atom_site_label
_atom_site_fract_x
_atom_site_fract_y
_atom_site_fract_z
Si1 0.000 0.500 0.250
Mo1 0.000 0.000 0.107
F1 0.000 0.000 0.500
```

Summary:
N(E_F) = 1.10 states/eV per atom
Formation energy from raw total energies = 0.046 eV/atom
M_tot = 0.0010 μB per atom

=====

No. 4
A geometry-optimized Li4MnO2F2 structure, computed with GGA-PBEsol.

```
data_Li4MnO2F2
_space_group_name_H-M_alt 'P 1 21/c 1'
_space_group_IT_number 14
_cell_length_a 5.926
_cell_length_b 4.904
_cell_length_c 6.104
_cell_angle_alpha 90.00
_cell_angle_beta 100.98
_cell_angle_gamma 90.00
loop_
_space_group_symop_operation_xyz
'x,y,z'
'-x,-y,-z'
'-x,y+1/2,-z+1/2'
'x,-y+1/2,z+1/2'
loop_
_atom_site_label
_atom_site_fract_x
_atom_site_fract_y
_atom_site_fract_z
Li1 0.109 0.010 0.204
Li2 0.333 0.522 0.080
Mn1 0.500 0.000 0.000
O1 0.382 0.694 0.805
F1 0.115 0.240 0.950
```

Summary:
Formation energy from raw total energies = -2.105 eV/atom
Offset from the most stable computed form = 3 meV/atom
M_tot = 0.5557 μB per atom

=====

No. 5
A geometry-optimized TaCo6W structure, computed with GGA-PBEsol.

```
data_TaCo6W
_space_group_name_H-M_alt 'C m m m'
_space_group_IT_number 65
_space_group_name_Hall '-C 2 2'
_cell_length_a 7.128
_cell_length_b 10.086
_cell_length_c 10.095
_cell_angle_alpha 90.00
_cell_angle_beta 90.00
_cell_angle_gamma 90.00
loop_
_atom_site_label
_atom_site_fract_x
_atom_site_fract_y
_atom_site_fract_z
Ta1 0.000 0.000 0.249
Ta2 0.000 0.249 0.000
Co1 0.000 0.000 0.000
Co2 0.000 0.000 0.500
Co3 0.000 0.252 0.253
Co4 0.000 0.500 0.000
Co5 0.000 0.500 0.500
Co6 0.247 0.374 0.377
Co7 0.247 0.376 0.127
W1 0.000 0.248 0.500
W2 0.000 0.500 0.249
```

Summary:
N(E_F) = 0.89 states/eV per atom
DFT total energy = -594.6 eV for the cell shown
M_tot = 0.0003 μB per atom

=====

No. 6
A geometry-optimized LiP2 structure, computed with GGA-PBEsol.

```
data_LiP2
_space_group_name_H-M_alt 'C 1 2/m 1'
_space_group_IT_number 12
_cell_length_a 13.203
_cell_length_b 3.255
_cell_length_c 5.417
_cell_angle_alpha 90.00
_cell_angle_beta 109.68
_cell_angle_gamma 90.00
loop_
_space_group_symop_operation_xyz
'x,y,z'
'-x,-y,-z'
'-x,y,-z'
'x,-y,z'
'x+1/2,y+1/2,z'
'-x+1/2,-y+1/2,-z'
'-x+1/2,y+1/2,-z'
'x+1/2,-y+1/2,z'
loop_
_atom_site_label
_atom_site_fract_x
_atom_site_fract_y
_atom_site_fract_z
Li1 0.165 0.000 0.215
P1 0.080 0.500 0.476
P2 0.162 0.000 0.741
```

Summary:
Offset from the most stable computed form = 0 meV/atom
M_tot = 0.0000 μB per atom

=====

No. 7
A geometry-optimized BaRe2Hg structure, computed with GGA-PBEsol.

```
data_BaRe2Hg
_space_group_name_H-M_alt 'P m m m'
_space_group_IT_number 47
_cell_length_a 2.879
_cell_length_b 5.217
_cell_length_c 5.395
_cell_angle_alpha 90.00
_cell_angle_beta 90.00
_cell_angle_gamma 90.00
loop_
_space_group_symop_operation_xyz
'x,y,z'
'-x,-y,-z'
'-x,-y,z'
'x,y,-z'
'x,-y,-z'
'-x,y,z'
'-x,y,-z'
'x,-y,z'
loop_
_atom_site_label
_atom_site_fract_x
_atom_site_fract_y
_atom_site_fract_z
Ba1 0.000 0.000 0.000
Re1 0.000 0.500 0.500
Re2 0.500 0.000 0.500
Hg1 0.500 0.500 0.000
```

Summary:
N(E_F) = 1.06 states/eV per atom
DFT total energy = -23.9 eV for the cell shown
M_tot = 0.0002 μB per atom

=====

No. 8
A geometry-optimized RbAgH3 structure, computed with GGA-PBEsol.

```
data_RbAgH3
_space_group_name_H-M_alt 'P m -3 m'
_space_group_IT_number 221
_space_group_name_Hall '-P 4 2 3'
_cell_length_a 4.582
_cell_length_b 4.582
_cell_length_c 4.582
_cell_angle_alpha 90.00
_cell_angle_beta 90.00
_cell_angle_gamma 90.00
loop_
_atom_site_label
_atom_site_fract_x
_atom_site_fract_y
_atom_site_fract_z
Rb1 0.000 0.000 0.000
Ag1 0.500 0.500 0.500
H1 0.000 0.000 0.500
```

Summary:
N(E_F) = 0.55 states/eV per atom
DFT total energy = -7.7 eV for the cell shown
M_tot = 0.1721 μB per atom

=====

No. 9
A geometry-optimized Fe2Pb3WO9 structure, computed with GGA-PBEsol.

```
data_Fe2Pb3WO9
_space_group_name_H-M_alt 'P -3 m 1'
_space_group_IT_number 164
_space_group_name_Hall '-P 3 2"'
_cell_length_a 5.5145
_cell_length_b 5.5145
_cell_length_c 6.7905
_cell_angle_alpha 90.00
_cell_angle_beta 90.00
_cell_angle_gamma 120.00
loop_
_atom_site_label
_atom_site_fract_x
_atom_site_fract_y
_atom_site_fract_z
Fe1 0.3333 0.6667 0.1605
Pb1 0.0000 0.0000 0.0000
Pb2 0.3333 0.6667 0.6970
W1 0.0000 0.0000 0.5000
O1 0.0000 0.5000 0.0000
O2 0.1642 0.3284 0.3345
```

Summary:
N(E_F) = 0.26 states/eV per atom
Formation energy from raw total energies = -1.431 eV/atom
M_tot = 0.4442 μB per atom

=====

No. 10
A geometry-optimized TlCuSe2 structure, computed with GGA-PBEsol.

```
data_TlCuSe2
_space_group_name_H-M_alt 'I -4 2 d'
_space_group_IT_number 122
_space_group_name_Hall 'I -4 2bw'
_cell_length_a 5.843
_cell_length_b 5.843
_cell_length_c 11.769
_cell_angle_alpha 90.00
_cell_angle_beta 90.00
_cell_angle_gamma 90.00
loop_
_atom_site_label
_atom_site_fract_x
_atom_site_fract_y
_atom_site_fract_z
Tl1 0.000 0.000 0.000
Cu1 0.000 0.000 0.500
Se1 0.201 0.250 0.625
```

Summary:
N(E_F) = 0.10 states/eV per atom
Formation energy from raw total energies = -0.205 eV/atom
M_tot = 0.0000 μB per atom

=====

No. 11
A geometry-optimized LiY2Re structure, computed with GGA-PBEsol.

```
data_LiY2Re
_space_group_name_H-M_alt 'C 1 2/m 1'
_space_group_IT_number 12
_cell_length_a 8.433
_cell_length_b 3.217
_cell_length_c 6.914
_cell_angle_alpha 90.00
_cell_angle_beta 97.55
_cell_angle_gamma 90.00
loop_
_space_group_symop_operation_xyz
'x,y,z'
'-x,-y,-z'
'-x,y,-z'
'x,-y,z'
'x+1/2,y+1/2,z'
'-x+1/2,-y+1/2,-z'
'-x+1/2,y+1/2,-z'
'x+1/2,-y+1/2,z'
loop_
_atom_site_label
_atom_site_fract_x
_atom_site_fract_y
_atom_site_fract_z
Li1 0.000 0.000 0.000
Y1 0.235 0.000 0.714
Re1 0.000 0.500 0.500
```

Summary:
N(E_F) = 0.85 states/eV per atom
DFT total energy = -54.7 eV for the cell shown
M_tot = 0.0001 μB per atom

=====

- Among the records above, which one has the highest M_tot?
  FeNiO2

=====

- Look up the M_tot of the fifth one.
  0.0003 μB per atom